DFT (PBE) results for an optimized crystal structure of Tm6InIr.

POSCAR file:
```
Tm6InIr
1.0
3.509 -5.612 0.000
3.509 5.612 0.000
-2.630 0.000 6.069
Tm In Ir
6 1 1
Direct
0.013 0.403 0.242
0.230 0.230 0.771
0.403 0.013 0.242
0.597 0.987 0.758
0.770 0.770 0.229
0.987 0.597 0.758
0.500 0.500 0.500
0.000 0.000 0.000
```

Formation enthalpy at 0 K, kJ/mol of formula units: -120.5
Symmetry: C2/m (12)

---

DFT (PBE) results for an optimized crystal structure of Mg2Tl2CdPb2.

POSCAR file:
```
Mg2Tl2CdPb2
1.0
7.439 -1.651 0.000
7.439 1.651 0.000
-3.076 0.000 8.128
Mg Tl Cd Pb
2 2 1 2
Direct
0.155 0.155 0.451
0.845 0.845 0.549
0.257 0.257 0.192
0.743 0.743 0.808
0.500 0.500 0.500
0.052 0.052 0.854
0.948 0.948 0.146
```

Formation enthalpy at 0 K, kJ/mol of formula units: 34.5
Symmetry: C2/m (12)

---

DFT (PBE) results for an optimized crystal structure of Na3Er2TmO6.

POSCAR file:
```
Na3Er2TmO6
1.0
2.927 -5.070 0.000
2.927 5.070 0.000
-1.952 0.000 5.567
Na Er Tm O
3 2 1 6
Direct
0.000 0.000 0.000
0.334 0.666 0.000
0.666 0.334 0.000
0.167 0.833 0.500
0.833 0.167 0.500
0.500 0.500 0.500
0.099 0.430 0.291
0.238 0.238 0.709
0.430 0.099 0.291
0.570 0.901 0.709
0.762 0.762 0.291
0.901 0.570 0.709
```

Raw formation energy, eV/atom: -2.85
Symmetry: C2/m (12)

---

DFT (PBE) results for an optimized crystal structure of Ac2TbPmSb4.

POSCAR file:
```
Ac2TbPmSb4
1.0
8.008 0.000 0.000
0.000 4.626 0.000
-2.668 0.000 7.555
Ac Tb Pm Sb
2 1 1 4
Direct
0.000 0.000 0.000
0.500 0.500 0.000
0.000 0.500 0.500
0.500 0.000 0.500
0.241 0.000 0.730
0.253 0.500 0.268
0.747 0.500 0.732
0.759 0.000 0.270
```

Raw formation energy, eV/atom: -1.17
Symmetry: P2/m (10)

---

| no. | D(E_F) (states/eV per cell) |
| --- | --- |
| 1 | 9.58 |
| 2 | 3.12 |
| 3 | 0.00 |
| 4 | 1.01 |